VCuO2: relaxed, PBE+U.

Unit cell a=4.375 b=3.084 c=6.488 alpha=90.00 beta=96.39 gamma=90.00
Space group P2_1/m (No. 11)
Inequivalent atoms, fractional coordinates:
V 0.226 0.250 0.376
Cu 0.290 0.750 0.911
O 0.187 0.750 0.185
O 0.270 0.750 0.600

Calculated values
The size of the total moment comes out at 4.0 μB/cell. The total energy is -53.2 eV for the cell shown.